Sr3TmIr8, relaxed, DFT PBE; raw total energy = -7.09 eV per atom; ΔE_f = -0.39 eV per atom; space-group type = R3m; D(E_F) = 1.173 states/eV/atom
1.0
2.7261 1.5739 8.8546
-2.7261 1.5739 8.8546
0.0000 -3.1478 8.8546
Sr Tm Ir
3 1 8
Direct
0.0000 0.0000 0.0000
0.1243 0.1243 0.1243
0.6270 0.6270 0.6270
0.5006 0.5006 0.5006
0.0631 0.0631 0.5560
0.0631 0.5560 0.0631
0.0709 0.5633 0.5633
0.3133 0.3133 0.3133
0.5560 0.0631 0.0631
0.5633 0.0709 0.5633
0.5633 0.5632 0.0709
0.8134 0.8134 0.8134

***

Nd2CoNi, relaxed, DFT PBE; raw total energy = -5.10 eV per atom; ΔE_f = 0.50 eV per atom; space-group type = R-3m; ΔE to the lowest computed polymorph = 0.6844 eV per atom; D(E_F) = 0.674 states/eV/atom
1.0
1.8119 1.0461 8.7382
-1.8119 1.0461 8.7382
0.0000 -2.0922 8.7382
Nd Co Ni
2 1 1
Direct
0.1000 0.1000 0.1000
0.9000 0.9000 0.9000
0.5000 0.5000 0.5000
0.0000 0.0000 0.0000

***

La2PrH, relaxed, DFT PBE; raw total energy = -4.37 eV per atom; space-group type = P6/mmm; ΔE to the lowest computed polymorph = 0.2949 eV per atom; D(E_F) = 1.040 states/eV/atom
1.0
5.7134 0.0000 0.0000
-2.8567 4.9479 0.0000
0.0000 0.0000 4.2152
La Pr H
2 1 1
Direct
0.3333 0.6667 0.0000
0.6667 0.3333 0.0000
0.0000 0.0000 0.5000
0.0000 0.0000 0.0000

***

BePbSe2Br, relaxed, DFT PBE; raw total energy = -2.43 eV per atom; ΔE_f (raw) = 780 meV per atom; space-group type = P4/mmm; ΔE to the lowest computed polymorph = 1.0137 eV per atom; D(E_F) = 0.770 states/eV/atom
1.0
5.4812 0.0000 0.0000
0.0000 5.4812 0.0000
0.0000 0.0000 5.6383
Be Pb Se Br
1 1 2 1
Direct
0.0000 0.0000 0.0000
0.5000 0.5000 0.5000
0.0000 0.5000 0.5000
0.5000 0.0000 0.5000
0.5000 0.5000 0.0000

***

- The highest raw total energy belongs to which entry?
  BePbSe2Br

***

- Among the records above, which one has the lowest D(E_F)?
  Nd2CoNi

***

- Look up the raw total energy of the fourth one.
  -2.43 eV per atom